[1]
This record from Alexandria describes a relaxed structure of AcBiAu3. The functional is GGA-PBE.

Space group = Cmcm (63)
Magnetization = 0.00 μB per formula unit
ΔH_f (0 K) = -0.5367 eV per atom

abc: 4.640 3.983 14.271
angles: 98.02 90.00 90.00
Fractional positions:
Bi: 0.250 0.794 0.588
Bi: 0.750 0.206 0.412
Au: 0.750 0.314 0.629
Au: 0.250 0.375 0.750
Au: 0.250 0.473 0.946
Au: 0.750 0.625 0.250
Au: 0.750 0.527 0.054
Au: 0.250 0.686 0.371
Ac: 0.750 0.922 0.844
Ac: 0.250 0.078 0.156

***

[2]
This record from Alexandria describes a relaxed structure of LaCoAg2. The functional is GGA-PBE.

Space group = R3m (160)
Magnetization = 0.70 μB per formula unit
ΔH_f (0 K) = 0.0316 eV per atom

abc: 5.414 5.414 5.414
angles: 51.01 51.01 51.01
Fractional positions:
Ag: 0.229 0.229 0.229
Ag: 0.956 0.956 0.956
La: 0.743 0.743 0.743
Co: 0.572 0.572 0.572

***

[3]
This record from Alexandria describes a relaxed structure of Ac8Bi4Sb3As. The functional is GGA-PBE.

Space group = R-3m (166)
ΔE_f (raw) = -1.13 eV per atom
Magnetization = 0.00 μB per formula unit

abc: 9.616 9.626 9.617
angles: 119.97 120.00 90.00
Fractional positions:
Ac: 0.252 0.255 0.503
Ac: 0.757 0.260 0.003
Ac: 0.246 0.260 0.003
Ac: 0.754 0.740 0.997
Ac: 0.244 0.741 0.487
Ac: 0.243 0.740 0.997
Ac: 0.748 0.745 0.497
Ac: 0.756 0.259 0.513
Sb: 0.500 0.500 0.000
Sb: 0.000 0.500 0.500
Sb: 0.500 0.500 0.500
As: 0.000 0.500 0.000
Bi: 0.500 0.000 0.500
Bi: 0.000 0.000 0.500
Bi: 0.000 0.000 0.000
Bi: 0.500 0.000 0.000

***

[4]
This record from Alexandria describes a relaxed structure of PuScOsRh. The functional is GGA-PBE.

Space group = F-43m (216)
Magnetization = 4.17 μB per formula unit
ΔH_f (0 K) = -0.4255 eV per atom

abc: 4.688 4.688 4.688
angles: 60.00 60.00 60.00
Fractional positions:
Rh: 0.250 0.250 0.250
Os: 0.750 0.750 0.750
Pu: 0.500 0.500 0.500
Sc: 0.000 0.000 0.000

***

[5]
This record from Alexandria describes a relaxed structure of Zr2AlBr. The functional is GGA-PBE.

Space group = Immm (71)
ΔE_f (raw) = -0.15 eV per atom
Magnetization = 0.00 μB per formula unit

abc: 5.731 5.731 5.661
angles: 60.34 60.34 32.87
Fractional positions:
Br: 0.250 0.250 0.250
Zr: 0.991 0.991 0.009
Zr: 0.509 0.509 0.491
Al: 0.750 0.750 0.750

***

Number 1: VASP energy -41.0 eV/cell, DOS(E_F) 4.69 states/eV/cell. Number 2: VASP energy -17.6 eV/cell, DOS(E_F) 3.43 states/eV/cell. Number 3: VASP energy -83.5 eV/cell, DOS(E_F) 2.63 states/eV/cell. Number 4: VASP energy -40.9 eV/cell, DOS(E_F) 5.12 states/eV/cell. Number 5: VASP energy -23.1 eV/cell, DOS(E_F) 2.70 states/eV/cell.